An optimized crystal structure of RbC3. Source: Alexandria via LeMat-Bulk, functional PBE.

a = 3.818 Å, b = 3.818 Å, c = 5.132 Å
α = 90.37°, β = 90.37°, γ = 42.20°
Fractional coordinates of all 4 atoms:
C (0.500, 0.500, 0.500)
C (0.693, 0.693, 0.500)
C (0.307, 0.307, 0.500)
Rb (0.000, 0.000, 0.000)

Properties
- Magnetization: 0.00 μB per cell
- V: 50 Å³/f.u.
- DOS(E_F): 0.251 states/eV per atom
- DFT total energy: -6.417 eV/atom
- E_form: 0.74 eV per atom
- ΔE to the lowest computed polymorph: 0 meV per atom

***

An optimized crystal structure of RbC. Source: Alexandria via LeMat-Bulk, functional PBE.

a = 8.917 Å, b = 8.917 Å, c = 2.793 Å
α = 90.00°, β = 90.00°, γ = 152.69°
Fractional coordinates of all 4 atoms:
C (0.510, 0.490, 0.750)
C (0.490, 0.510, 0.250)
Rb (0.882, 0.118, 0.750)
Rb (0.118, 0.882, 0.250)

Properties
- Magnetization: 0.07 μB per cell
- V: 51 Å³/f.u.
- DOS(E_F): 0.476 states/eV per atom
- DFT total energy: -4.329 eV/atom
- E_form: 0.77 eV per atom
- ΔE to the lowest computed polymorph: 473 meV per atom

***

An optimized crystal structure of RbC. Source: Alexandria via LeMat-Bulk, functional PBE.

a = 5.999 Å, b = 5.999 Å, c = 5.999 Å
α = 52.23°, β = 52.23°, γ = 52.23°
Fractional coordinates of all 4 atoms:
C (0.959, 0.959, 0.959)
C (0.041, 0.041, 0.041)
Rb (0.751, 0.751, 0.751)
Rb (0.249, 0.249, 0.249)

Properties
- Magnetization: 0.00 μB per cell
- V: 62 Å³/f.u.
- DOS(E_F): 0.000 states/eV per atom
- DFT total energy: -4.795 eV/atom
- E_form: 0.30 eV per atom
- ΔE to the lowest computed polymorph: 7 meV per atom

***

An optimized crystal structure of RbC. Source: Alexandria via LeMat-Bulk, functional PBE.

a = 2.970 Å, b = 2.971 Å, c = 9.865 Å
α = 90.00°, β = 90.00°, γ = 90.00°
Fractional coordinates of all 4 atoms:
C (0.000, 0.000, 0.900)
C (0.500, 0.500, 0.850)
Rb (0.000, 0.000, 0.621)
Rb (0.500, 0.500, 0.129)

Properties
- Magnetization: 0.00 μB per cell
- V: 44 Å³/f.u.
- DOS(E_F): 0.677 states/eV per atom
- DFT total energy: -2.747 eV/atom
- E_form: 2.35 eV per atom
- ΔE to the lowest computed polymorph: 2055 meV per atom

***

- Look up the V of the third one.
  62 Å³/f.u.

***

- Among the records above, which one has the lowest E_form?
  number 3

***

- Look up the ΔE to the lowest computed polymorph of the third one.
  7 meV per atom